Density functional theory data (PBE-GGA) for a relaxed structure of Zn12Pt2Au5.

Computed properties:
The value obtained for the density of states at the Fermi level is 5.730 states/eV/cell. Its total magnetic moment is 0.000 μB/cell. Its symmetry is No. 12. For the total energy, the calculation gives -2.4563 eV/atom. The value obtained for the mass density is 10.31 g/cm³.

abc: 7.3758 7.3758 9.1711
angles: 90.75 90.75 44.19
Closest atoms and distances in Å follow each position.
Fractional positions:
Zn (0.0136, 0.0136, 0.2475)  2 Au 2.58-2.66, 2 Pt 2.70, 2 Zn 2.85
Zn (0.0848, 0.5691, 0.6056)  1 Pt 2.57, 3 Au 2.60-2.77, 3 Zn 2.69-2.86
Zn (0.0895, 0.6061, 0.0922)  4 Au 2.63-2.71, 3 Zn 2.68-2.87
Zn (0.3939, 0.9105, 0.9078)  4 Au 2.63-2.71, 3 Zn 2.68-2.87
Zn (0.4309, 0.9152, 0.3944)  1 Pt 2.57, 3 Au 2.60-2.77, 3 Zn 2.69-2.86
Zn (0.4707, 0.4707, 0.2752)  2 Pt 2.52, 1 Au 2.56, 2 Zn 2.76
Zn (0.5293, 0.5293, 0.7248)  2 Pt 2.52, 1 Au 2.56, 2 Zn 2.76
Zn (0.5691, 0.0848, 0.6056)  1 Pt 2.57, 3 Au 2.60-2.77, 3 Zn 2.69-2.86
Zn (0.6061, 0.0895, 0.0922)  4 Au 2.63-2.71, 3 Zn 2.68-2.87
Zn (0.9105, 0.3939, 0.9078)  4 Au 2.63-2.71, 3 Zn 2.68-2.87
Zn (0.9152, 0.4309, 0.3944)  1 Pt 2.57, 3 Au 2.60-2.77, 3 Zn 2.69-2.86
Zn (0.9864, 0.9864, 0.7525)  2 Au 2.58-2.66, 2 Pt 2.70, 2 Zn 2.85
Pt (0.2469, 0.7531, 0.5000)  6 Zn 2.52-2.70, 2 Pt 2.74-2.81
Pt (0.7531, 0.2469, 0.5000)  6 Zn 2.52-2.70, 2 Pt 2.74-2.81
Au (0.1679, 0.1679, 0.6528)  7 Zn 2.60-2.77
Au (0.1891, 0.1891, 0.1490)  7 Zn 2.58-2.68
Au (0.5000, 0.5000, 0.0000)  6 Zn 2.56-2.67
Au (0.8109, 0.8109, 0.8510)  7 Zn 2.58-2.68
Au (0.8321, 0.8321, 0.3472)  7 Zn 2.60-2.77